P) # TlNi2W (GGA-PBE, optimized geometry)
data_TlNi2W
_chemical_formula_sum 'Tl4 Ni8 W4'
_cell_length_a 6.236
_cell_length_b 6.236
_cell_length_c 6.236
_cell_angle_alpha 90.00
_cell_angle_beta 90.00
_cell_angle_gamma 90.00
_space_group_name_H-M_alt 'F -4 3 m'
_space_group_IT_number 216
_space_group_name_Hall 'F -4 2 3'
loop_
_atom_site_label
_atom_site_type_symbol
_atom_site_fract_x
_atom_site_fract_y
_atom_site_fract_z
_atom_site_occupancy
Tl1 Tl 0.000 0.000 0.000 1
Ni1 Ni 0.000 0.000 0.500 1
Ni2 Ni 0.250 0.250 0.750 1
W1 W 0.250 0.250 0.250 1
# Mass density, g/cm3: 13.849

***

Q) # TlNi2W (GGA-PBE, optimized geometry)
data_TlNi2W
_chemical_formula_sum 'Tl1 Ni2 W1'
_cell_length_a 2.863
_cell_length_b 2.863
_cell_length_c 7.442
_cell_angle_alpha 90.00
_cell_angle_beta 90.00
_cell_angle_gamma 90.00
_space_group_name_H-M_alt 'P 4/m m m'
_space_group_IT_number 123
_space_group_name_Hall '-P 4 2'
loop_
_atom_site_label
_atom_site_type_symbol
_atom_site_fract_x
_atom_site_fract_y
_atom_site_fract_z
_atom_site_occupancy
Tl1 Tl 0.000 0.000 0.000 1
Ni1 Ni 0.500 0.500 0.277 1
W1 W 0.000 0.000 0.500 1
# Mass density, g/cm3: 13.768

***

R) # TlNi2W (GGA-PBE, optimized geometry)
data_TlNi2W
_chemical_formula_sum 'Tl1 Ni2 W1'
_cell_length_a 3.006
_cell_length_b 4.324
_cell_length_c 4.729
_cell_angle_alpha 90.00
_cell_angle_beta 90.00
_cell_angle_gamma 90.00
_space_group_name_H-M_alt 'P m m m'
_space_group_IT_number 47
_space_group_name_Hall '-P 2 2'
loop_
_atom_site_label
_atom_site_type_symbol
_atom_site_fract_x
_atom_site_fract_y
_atom_site_fract_z
_atom_site_occupancy
Tl1 Tl 0.000 0.000 0.000 1
Ni1 Ni 0.000 0.500 0.500 1
Ni2 Ni 0.500 0.500 0.000 1
W1 W 0.500 0.000 0.500 1
# Mass density, g/cm3: 13.658

***

The structure with the least stability is P).